Record 1
Density functional theory data (GGA-PBE) for crystalline Li4Mg2Zn at its relaxed geometry.

The space group is Fmm2 (No. 42) and the conventional cell measures 7.766, 8.086 and 8.764 Å, with angles of 90.00, 90.00 and 90.00 degrees. Symmetry generates all atoms from Li at (0.000, 0.193, 0.000), Li at (0.193, 0.000, 0.522), Mg at (0.250, 0.250, 0.260) and Zn at (0.000, 0.000, 0.257).

The energy above the most stable polymorph in this dataset is 0.000 eV/atom. Its formation energy is -22 meV per atom. As for the final energy: -49.08 eV for the cell shown.


Record 2
Density functional theory data (GGA-PBE) for crystalline TbHf2Tc at its relaxed geometry.

The space group is P4/mmm (No. 123) and the conventional cell measures 3.313, 3.313 and 8.075 Å, with angles of 90.00, 90.00 and 90.00 degrees. Symmetry generates all atoms from Tb at (0.000, 0.000, 0.000), Hf at (0.500, 0.500, 0.310) and Tc at (0.000, 0.000, 0.500).

Its formation energy is -164 meV per atom. As for the final energy: -35.56 eV for the cell shown.


Record 3
Density functional theory data (GGA-PBE) for crystalline Li2Pm2ThSi2 at its relaxed geometry.

The space group is R-3m (No. 166, hexagonal axes) and the conventional cell measures 4.4774, 4.4774 and 27.9130 Å, with angles of 90.00, 90.00 and 120.00 degrees. Symmetry generates all atoms from Li at (0.0000, 0.0000, 0.0996), Pm at (0.0000, 0.0000, 0.3744), Th at (0.0000, 0.0000, 0.5000) and Si at (0.0000, 0.0000, 0.2327).

As for the final energy: -102.17 eV for the cell shown.


Record 4
Density functional theory data (GGA-PBE) for crystalline VIn2Ga at its relaxed geometry.

The space group is I-42d (No. 122) and the conventional cell measures 7.854, 7.854 and 5.694 Å, with angles of 90.00, 90.00 and 90.00 degrees. Symmetry generates all atoms from V at (0.000, 0.000, 0.000), In at (0.241, 0.750, 0.625) and Ga at (0.000, 0.000, 0.500).

Its formation energy is 469 meV per atom. As for the final energy: -62.99 eV for the cell shown.


Record 5
Density functional theory data (GGA-PBE) for crystalline KNbF3 at its relaxed geometry.

The space group is Pm-3m (No. 221) and the conventional cell measures 4.598, 4.598 and 4.598 Å, with angles of 90.00, 90.00 and 90.00 degrees. Symmetry generates all atoms from K at (0.000, 0.000, 0.000), Nb at (0.500, 0.500, 0.500) and F at (0.000, 0.000, 0.500).

The energy above the most stable polymorph in this dataset is 1.306 eV/atom. As for the final energy: -21.31 eV for the cell shown.


Record 6
Density functional theory data (GGA-PBE) for crystalline Er6SnAs3S2 at its relaxed geometry.

The space group is C2/m (No. 12) and the conventional cell measures 17.718, 4.035 and 8.208 Å, with angles of 90.00, 103.10 and 90.00 degrees. Symmetry generates all atoms from Er at (0.002, 0.000, 0.264), Er at (0.167, 0.500, 0.585), Er at (0.172, 0.500, 0.086), Sn at (0.000, 0.500, 0.000), As at (0.000, 0.500, 0.500), As at (0.166, 0.000, 0.831) and S at (0.170, 0.000, 0.340).

As for the final energy: -143.45 eV for the cell shown.


- Which of these has the lowest final energy?
  Er6SnAs3S2